1.
The following is a PBE calculation of Nb3Ir2Rh after structural relaxation, from Alexandria via LeMat-Bulk.

DFT formation energy ... -491 meV/atom
Crystal system ... tetragonal

a b c (Å): 2.874 2.874 11.711
angles (deg): 90.00 90.00 90.00
Atoms (fractional coordinates):
1 Nb 0.000 0.000 0.000
2 Nb 0.000 0.000 0.333
3 Nb 0.000 0.000 0.667
4 Ir 0.500 0.500 0.168
5 Ir 0.500 0.500 0.832
6 Rh 0.500 0.500 0.500

2.
The following is a PBE calculation of Nb2IrRh3 after structural relaxation, from Alexandria via LeMat-Bulk.

DFT formation energy ... 24 meV/atom
Crystal system ... orthorhombic

a b c (Å): 6.974 6.974 6.974
angles (deg): 111.12 86.60 134.35
Atoms (fractional coordinates):
1 Nb 0.133 0.225 0.358
2 Nb 0.367 0.725 0.091
3 Nb 0.633 0.275 0.909
4 Nb 0.867 0.775 0.642
5 Ir 0.000 0.500 0.500
6 Ir 0.500 0.000 0.500
7 Rh 0.019 0.750 0.269
8 Rh 0.250 0.250 0.000
9 Rh 0.481 0.750 0.731
10 Rh 0.519 0.250 0.269
11 Rh 0.750 0.750 0.000
12 Rh 0.981 0.250 0.731

3.
The following is a PBE calculation of NbIrRh2 after structural relaxation, from Alexandria via LeMat-Bulk.

DFT formation energy ... 56 meV/atom
Crystal system ... tetragonal

a b c (Å): 9.513 9.513 9.513
angles (deg): 156.93 156.93 32.85
Atoms (fractional coordinates):
1 Nb 0.000 0.000 0.000
2 Nb 0.750 0.250 0.500
3 Ir 0.250 0.750 0.500
4 Ir 0.500 0.500 0.000
5 Rh 0.140 0.625 0.015
6 Rh 0.375 0.390 0.515
7 Rh 0.610 0.125 0.985
8 Rh 0.875 0.860 0.485